Computed, not measured: a relaxed BaSr2Al2 crystal at the PBE level of DFT.

a = 4.6397 Å, b = 6.6695 Å, c = 7.0253 Å
α = 99.40°, β = 109.28°, γ = 90.00°
Fractional positions:
1 Ba 0.0000 0.0000 0.0000
2 Sr 0.3473 0.4120 0.6947
3 Sr 0.6527 0.5880 0.3053
4 Al 0.7298 0.0947 0.4596
5 Al 0.2702 0.9053 0.5404

- VASP energy: -13.17 eV per cell
- DFT formation energy: -0.0787 eV per atom
- Energy relative to the lowest polymorph listed for this composition: 1.04 kcal/mol of atoms
- D(E_F): 6.2 states/eV/f.u.
- Space-group type: C2/m (12)
- Crystal system: monoclinic